Below is a relaxed Ti2BiPt2 crystal, with properties calculated at the PBE level.

## Properties
magnetic moment: 0.000 μB/f.u.
excess energy over the best structure of this formula in the dataset: 27.4 meV per atom
space-group type: I4/mmm (139)
formation energy from the elements: -0.58 eV/atom
electronic total energy: -6.927 eV per atom

abc: 4.350 4.350 6.186
angles: 69.42 69.42 90.00
Element x y z (fractional)
Ti1 0.750 0.250 0.500
Ti2 0.250 0.750 0.500
Bi1 0.000 0.000 0.000
Pt1 0.375 0.375 0.251
Pt2 0.625 0.625 0.749